(1)
Compound: LiTc2Cl2
Source: Alexandria via LeMat-Bulk
Functional: PBE
Structure: relaxed

Lattice parameters (Å, degrees): 6.2023 6.2023 6.2023 141.85 141.85 55.05
Last column: nearest neighbours and their distance in Å.
Atoms (fractional coordinates):
Li1 0.0000 0.0000 0.0000  8 Cl 3.24, 8 Tc 3.42
Tc1 0.2500 0.7500 0.5000  4 Cl 2.38
Tc2 0.7500 0.2500 0.5000  4 Cl 2.38
Cl1 0.3628 0.3628 0.0000  4 Tc 2.38
Cl2 0.6372 0.6372 0.0000  4 Tc 2.38

Properties
- E_form (uncorrected) (eV per formula unit) = 2.14
- D(E_F) (states/eV/f.u.) = 2.88
- total energy (eV/atom) = -4.84


(2)
Compound: Y4ScAg
Source: Alexandria via LeMat-Bulk
Functional: PBE
Structure: relaxed

Lattice parameters (Å, degrees): 6.3391 6.3391 6.3391 60.00 60.00 60.00
Last column: nearest neighbours and their distance in Å.
Atoms (fractional coordinates):
Y1 0.3758 0.3758 0.3758  6 Y 3.15-3.19
Y2 0.3758 0.3758 0.8727  6 Y 3.15-3.19
Y3 0.3758 0.8727 0.3758  6 Y 3.15-3.19
Y4 0.8727 0.3758 0.3758  6 Y 3.15-3.19
Sc1 0.7500 0.7500 0.7500  12 Y 3.71, 4 Ag 3.88
Ag1 0.0000 0.0000 0.0000  12 Y 3.72, 4 Sc 3.88

Properties
- energy relative to the elements (eV/atom) = 0.426
- D(E_F) (states/eV/f.u.) = 9.01
- distance to the lowest polymorph of the same formula (meV per atom) = 491
- total energy (eV/atom) = -5.41


(3)
Compound: HoIrPdPb
Source: Alexandria via LeMat-Bulk
Functional: PBE
Structure: relaxed

Lattice parameters (Å, degrees): 4.8186 4.8186 4.8186 60.00 60.00 60.00
Last column: nearest neighbours and their distance in Å.
Atoms (fractional coordinates):
Ho1 0.0000 0.0000 0.0000  4 Ir 2.95, 4 Pd 2.95
Ir1 0.7500 0.7500 0.7500  4 Ho 2.95, 4 Pb 2.95
Pd1 0.2500 0.2500 0.2500  4 Pb 2.95, 4 Ho 2.95
Pb1 0.5000 0.5000 0.5000  4 Ir 2.95, 4 Pd 2.95

Properties
- energy relative to the elements (eV/atom) = -0.475
- D(E_F) (states/eV/f.u.) = 3.43
- total energy (eV/atom) = -6.06


- What is the total energy in the third record?
  -6.06 eV/atom


- Among the records above, which one has the lowest D(E_F)?
  LiTc2Cl2


Please write out number 1 again, unchanged.
Compound: LiTc2Cl2
Source: Alexandria via LeMat-Bulk
Functional: PBE
Structure: relaxed

Lattice parameters (Å, degrees): 6.2023 6.2023 6.2023 141.85 141.85 55.05
Last column: nearest neighbours and their distance in Å.
Atoms (fractional coordinates):
Li1 0.0000 0.0000 0.0000  8 Cl 3.24, 8 Tc 3.42
Tc1 0.2500 0.7500 0.5000  4 Cl 2.38
Tc2 0.7500 0.2500 0.5000  4 Cl 2.38
Cl1 0.3628 0.3628 0.0000  4 Tc 2.38
Cl2 0.6372 0.6372 0.0000  4 Tc 2.38

Properties
- E_form (uncorrected) (eV per formula unit) = 2.14
- D(E_F) (states/eV/f.u.) = 2.88
- total energy (eV/atom) = -4.84